[1]
Compound: LiTaNi2C
Source: the Alexandria database
Functional: PBE
Structure: optimized geometry

Its space-group type is P4/mmm. The value obtained for the total energy is -28.38 eV per cell. Its formation enthalpy at 0 K is 1235 meV per atom.

Lattice parameters (Å, degrees): 4.673 4.107 4.673 90.00 90.00 90.00
Atoms (fractional coordinates):
Li 0.500 0.500 0.500
C 0.000 0.500 0.000
Ni 0.500 0.000 0.000
Ta 0.000 0.000 0.000
Ni 0.000 0.000 0.500


[2]
Compound: LiTcNi2C
Source: the Alexandria database
Functional: PBE
Structure: optimized geometry

Its space-group type is P4/mmm. The value obtained for the total energy is -32.47 eV per cell. Its formation enthalpy at 0 K is 119 meV per atom.

Lattice parameters (Å, degrees): 3.784 3.784 4.021 90.00 90.00 90.00
Each line ends with the local moment (μB).
Atoms (fractional coordinates):
C 0.000 0.000 0.000  -0.01
Li 0.500 0.500 0.500  0.00
Ni 0.000 0.500 0.000  0.32
Tc 0.000 0.000 0.500  0.66
Ni 0.500 0.000 0.000  0.32